(1)
Y2Ge2Ir: PBEsol geometry, SCAN.

The space group is P4/mbm (No. 127) and the conventional cell measures 6.603, 6.603 and 4.411 Å, with angles of 90.00, 90.00 and 90.00 degrees. The inequivalent atoms are Y at (0.175, 0.325, 0.000), Ge at (0.136, 0.636, 0.500) and Ir at (0.000, 0.000, 0.500).

The total magnetic moment comes out at 0.00 μB/atom. The calculation puts the total energy at -34.0341 eV per atom. The volume is 19.2 Å³ per atom.

=====

(2)
YGe2Ir: PBEsol geometry, SCAN.

The space group is Immm (No. 71) and the conventional cell measures 4.244, 8.803 and 15.919 Å, with angles of 90.00, 90.00 and 90.00 degrees. The inequivalent atoms are Y at (0.000, 0.000, 0.206), Y at (0.000, 0.239, 0.000), Ge at (0.000, 0.000, 0.422), Ge at (0.000, 0.347, 0.201), Ge at (0.000, 0.500, 0.423) and Ir at (0.000, 0.250, 0.355).

The total magnetic moment comes out at 0.00 μB/atom. The calculation puts the total energy at -35.2708 eV per atom. The volume is 18.6 Å³ per atom.

=====

(3)
Y2Ge5Ir3: PBEsol geometry, SCAN.

The space group is Ibam (No. 72) and the conventional cell measures 10.185, 11.655 and 5.952 Å, with angles of 90.00, 90.00 and 90.00 degrees. The inequivalent atoms are Y at (0.225, 0.134, 0.000), Ge at (0.000, 0.000, 0.250), Ge at (0.000, 0.277, 0.250), Ge at (0.163, 0.402, 0.000), Ir at (0.000, 0.500, 0.250) and Ir at (0.111, 0.142, 0.500).

The total magnetic moment comes out at 0.00 μB/atom. The calculation puts the total energy at -37.3510 eV per atom. The volume is 17.7 Å³ per atom.

=====

(4)
Y3Ge13Ir4: PBEsol geometry, SCAN.

The space group is Pm-3n (No. 223) and the conventional cell measures 8.928, 8.928 and 8.928 Å, with angles of 90.00, 90.00 and 90.00 degrees. The inequivalent atoms are Y at (0.000, 0.250, 0.500), Ge at (0.000, 0.000, 0.000), Ge at (0.000, 0.307, 0.145) and Ir at (0.250, 0.250, 0.250).

The total magnetic moment comes out at 0.00 μB/atom. The calculation puts the total energy at -31.4371 eV per atom. The volume is 17.8 Å³ per atom.